# 1
Compound: Mg3Zn2AgPd3
Source: Alexandria via LeMat-Bulk
Functional: PBE-GGA
Structure: relaxed

## Properties
* magnetization: 0.000 μB per atom
* ΔH_f (0 K): -0.4377 eV/atom
* calculated total energy: -3.300 eV/atom
* symmetry: P-62m, No. 189

POSCAR file:
```
Mg3Zn2AgPd3
1.0
2.920 0.000 0.000
0.000 7.586 0.000
0.000 -3.793 6.569
Pd Zn Mg Ag
3 2 3 1
direct
0.000 0.616 0.616
0.000 0.000 0.384
0.000 0.384 0.000
0.500 0.333 0.667
0.500 0.667 0.333
0.500 0.701 0.000
0.500 0.000 0.701
0.500 0.299 0.299
0.000 0.000 0.000
```

=====

# 2
Compound: Mg2Zn5AgPd2
Source: Alexandria via LeMat-Bulk
Functional: PBE-GGA
Structure: relaxed

## Properties
* magnetization: 0.000 μB per atom
* ΔH_f (0 K): -0.3157 eV/atom
* calculated total energy: -2.595 eV/atom
* symmetry: P4/mbm, No. 127

POSCAR file:
```
Mg2Zn5AgPd2
1.0
4.143 0.000 0.000
0.000 8.961 0.000
0.000 0.000 8.961
Mg Zn Ag Pd
4 10 2 4
direct
0.000 0.828 0.672
0.000 0.672 0.172
0.000 0.172 0.328
0.000 0.328 0.828
0.500 0.200 0.078
0.500 0.800 0.922
0.500 0.078 0.800
0.500 0.422 0.300
0.500 0.578 0.700
0.500 0.000 0.500
0.500 0.500 0.000
0.500 0.700 0.422
0.500 0.922 0.200
0.500 0.300 0.578
0.000 0.500 0.500
0.000 0.000 0.000
0.000 0.877 0.377
0.000 0.623 0.877
0.000 0.123 0.623
0.000 0.377 0.123
```

=====

# 3
Compound: Mg3Zn3AgPd2
Source: Alexandria via LeMat-Bulk
Functional: PBE-GGA
Structure: relaxed

## Properties
* magnetization: 0.000 μB per atom
* ΔH_f (0 K): -0.3166 eV/atom
* calculated total energy: -2.744 eV/atom
* symmetry: P-62m, No. 189

POSCAR file:
```
Mg3Zn3AgPd2
1.0
-0.319 0.509 2.853
-7.529 -1.378 -0.595
4.842 -5.748 1.566
Pd Mg Zn Ag
2 3 3 1
direct
0.500 0.333 0.667
0.500 0.667 0.333
0.500 0.307 0.307
0.500 0.693 0.000
0.500 0.000 0.693
0.000 0.630 0.630
0.000 0.000 0.370
0.000 0.370 0.000
0.000 0.000 0.000
```

=====

# 4
Compound: PmMg2Ag
Source: Alexandria via LeMat-Bulk
Functional: PBE-GGA
Structure: relaxed

## Properties
* magnetization: 0.000 μB per atom
* ΔH_f (0 K): -0.1102 eV/atom
* calculated total energy: -2.808 eV/atom
* symmetry: Fm-3m, No. 225

POSCAR file:
```
PmMg2Ag
1.0
-2.244 3.361 3.039
-2.298 -1.553 4.228
2.016 1.070 4.512
Mg Pm Ag
2 1 1
direct
0.250 0.250 0.250
0.750 0.750 0.750
0.000 0.000 0.000
0.500 0.500 0.500
```

=====

Number 1: Fermi-level density of states 3.77 states/eV/cell. Number 2: Fermi-level density of states 5.61 states/eV/cell. Number 3: Fermi-level density of states 2.90 states/eV/cell. Number 4: Fermi-level density of states 2.21 states/eV/cell.